Computed, not measured: a relaxed Ac8Sm2Tl crystal at the PBE level of DFT.

Summary:
Total magnetization = 0.0 Bohr magnetons per cell
Formation enthalpy at 0 K = 28 kJ/mol of formula units
V = 42.5 Å³ per atom
N(E_F) = 1.538 states/eV/atom

a b c (Å): 6.0973 8.1109 10.7303
angles (deg): 112.19 106.51 90.00
Positions (direct):
Ac1 0.6379 0.8698 0.2758
Ac2 0.3622 0.5939 0.7245
Ac3 0.1839 0.1840 0.3678
Ac4 0.0000 0.2536 0.9999
Ac5 0.8161 0.8160 0.6322
Ac6 0.6378 0.4061 0.2755
Ac7 0.3621 0.1302 0.7242
Ac8 0.0000 0.7464 0.0001
Sm1 0.1908 0.6907 0.3815
Sm2 0.8092 0.3093 0.6185
Tl1 0.5000 0.0000 0.0000

***

Computed, not measured: a relaxed Ba4Hg2Rh crystal at the PBE level of DFT.

Summary:
Total magnetization = 0.0 Bohr magnetons per cell
Formation enthalpy at 0 K = -237 kJ/mol of formula units
V = 40.7 Å³ per atom
N(E_F) = 0.912 states/eV/atom
Offset from the most stable computed form = 0 meV/atom

a b c (Å): 4.6186 7.8029 8.8660
angles (deg): 71.82 74.90 72.79
Positions (direct):
Ba1 0.0728 0.2113 0.6432
Ba2 0.9272 0.7887 0.3568
Ba3 0.3408 0.2500 0.0685
Ba4 0.6592 0.7500 0.9315
Hg1 0.3718 0.5850 0.6714
Hg2 0.6282 0.4150 0.3286
Rh1 0.0000 0.0000 0.0000